First-principles (GGA-PBE) data for a relaxed structure of Na2HoTeSe4, as listed in Alexandria.

Geometry as extended XYZ:
```
16
Lattice="-4.0457 0.9983 7.1614 -2.4765 -7.9028 -0.2522 8.1436 1.4382 -0.0030" Properties=species:S:1:pos:R:3 pbc="T T T"
Te 4.0979 2.4365 7.1583
Na 4.0718 0.7191 -0.0015
Se 5.1278 -4.2086 1.3714
Se -3.5064 -1.2575 5.5349
Na 2.0489 1.2183 3.5792
Se 2.4734 -1.2063 1.8634
Se 6.4994 -0.1933 1.4994
Na -3.2611 -3.4522 3.4546
Se 1.0290 -4.7742 1.5007
Se 0.5925 -0.6920 5.4054
Se -4.8779 -5.2729 5.4067
Te 0.8107 -2.7331 3.4531
Ho -1.2122 -2.2339 7.0337
Se -0.8520 -4.2599 5.0427
Ho -1.2382 -3.9514 -0.1261
Na -2.0229 0.4991 3.5807
```

density of states at the Fermi level	2.6	states/eV per cell
calculated total energy	-64.91	eV/cell
space group	C2/c, No. 15

First-principles (GGA-PBE) data for a relaxed structure of NaHo4ThSe8, as listed in Alexandria.

Geometry as extended XYZ:
```
14
Lattice="8.4092 0.0000 0.0000 4.2046 7.2826 0.0000 4.2046 2.4275 6.9945" Properties=species:S:1:pos:R:3 pbc="T T T"
Se 8.4092 7.4450 5.1446
Se 8.4092 2.3106 1.8448
Na 8.4092 4.8550 6.1940
Se 6.2056 6.1273 1.8448
Se 12.6138 7.2826 5.0400
Se 10.6522 3.5601 5.1446
Se 10.6127 6.1273 1.8448
Ho 4.2046 4.7706 3.5210
Th 4.2046 2.4275 6.9213
Ho 8.4092 4.8551 0.7984
Ho 2.1754 1.2560 3.5210
Se 4.2046 2.4275 1.9738
Se 6.1662 3.5601 5.1446
Ho 6.2338 1.2560 3.5210
```

density of states at the Fermi level	4.3	states/eV per cell
calculated total energy	-78.63	eV/cell
space group	R3m, No. 160

First-principles (GGA-PBE) data for a relaxed structure of NaHo2Th3Se6, as listed in Alexandria.

Geometry as extended XYZ:
```
12
Lattice="4.0125 0.0000 0.0000 0.0000 8.5845 -0.0923 -2.0062 -2.8889 8.7936" Properties=species:S:1:pos:R:3 pbc="T T T"
Th 2.0062 -0.4941 5.8472
Th 2.0062 4.2923 -0.0462
Se 0.0000 2.0634 0.0557
Se 2.0062 -0.1406 2.8429
Ho 2.0062 3.7896 5.7881
Na 2.0062 0.0000 0.0000
Se 0.0000 1.7556 5.7639
Se 2.0062 3.9400 2.9374
Th 0.0000 6.1897 2.8541
Se 0.0000 5.8362 5.8584
Ho 0.0000 1.9061 2.9132
Se 2.0062 3.6322 8.6455
```

density of states at the Fermi level	6.9	states/eV per cell
calculated total energy	-72.62	eV/cell
space group	C2/m, No. 12

First-principles (GGA-PBE) data for a relaxed structure of NaHo2ThSe4, as listed in Alexandria.

Geometry as extended XYZ:
```
8
Lattice="-3.1580 1.4739 -2.0983 0.0716 -5.7959 -4.1789 -4.2913 -5.0005 2.9460" Properties=species:S:1:pos:R:3 pbc="T T T"
Ho -3.7246 -1.7633 0.4239
Na -2.1099 -5.3982 -0.6164
Th -1.5432 -2.1610 -3.1386
Se -3.1198 -8.1015 -0.9954
Se -2.5893 -4.9083 -3.4941
Ho -4.2913 -5.0005 2.9460
Se -4.2579 -1.2210 -2.3358
Se -4.7885 -4.4142 0.1629
```

density of states at the Fermi level	4.7	states/eV per cell
calculated total energy	-44.92	eV/cell
space group	P2/m, No. 10

First-principles (GGA-PBE) data for a relaxed structure of Na4HoTh3Se8, as listed in Alexandria.

Geometry as extended XYZ:
```
16
Lattice="8.2929 0.0000 0.0000 0.0000 8.6368 0.2343 -4.1465 -4.1405 5.8680" Properties=species:S:1:pos:R:3 pbc="T T T"
Na 2.0732 -2.0702 2.9340
Se 6.2650 2.2430 0.0848
Se -2.1185 2.2533 6.0175
Se 4.1465 4.3920 3.0999
Se 0.0000 4.3682 3.0196
Na 0.0000 0.0000 0.0000
Se 2.1185 2.2533 6.0175
Se 0.0000 0.1044 3.0025
Th 4.1465 4.3184 0.1172
Se 2.0280 2.2430 0.0848
Na -2.0732 -2.0702 2.9340
Ho 0.0000 4.3184 0.1172
Th 2.0732 2.2482 3.0512
Se 4.1465 0.1281 3.0828
Th -2.0732 2.2482 3.0512
Na 4.1465 0.0000 0.0000
```

density of states at the Fermi level	9.3	states/eV per cell
calculated total energy	-84.41	eV/cell
space group	R-3m, No. 166

First-principles (GGA-PBE) data for a relaxed structure of Na3Ho3ThSe8, as listed in Alexandria.

Geometry as extended XYZ:
```
15
Lattice="8.3190 0.0000 0.0000 -4.1595 7.2046 -0.0279 0.0000 -4.7804 7.0584" Properties=species:S:1:pos:R:3 pbc="T T T"
Se 2.1131 -1.1769 1.9230
Se 0.0000 2.4064 1.9104
Ho -2.0798 1.2121 3.5152
Se 2.0464 3.6011 5.1075
Se 0.0000 0.0566 5.1213
Se 4.1595 2.3676 1.9092
Se 6.2059 -1.1769 1.9230
Na 2.0798 3.6023 -0.0139
Se -2.0464 3.6011 5.1075
Ho 4.1595 -2.3902 3.5292
Na -2.0798 3.6023 -0.0139
Th 0.0000 -2.3902 3.5292
Se 4.1595 0.0178 5.1201
Na 0.0000 0.0000 0.0000
Ho 2.0798 1.2121 3.5152
```

density of states at the Fermi level	0.0	states/eV per cell
calculated total energy	-78.43	eV/cell
space group	R-3m, No. 166

First-principles (GGA-PBE) data for a relaxed structure of Na3Ho2ThSe6, as listed in Alexandria.

Geometry as extended XYZ:
```
12
Lattice="-1.2699 -3.8915 0.5090 8.0905 -2.4590 1.3846 -2.7413 4.1366 8.0714" Properties=species:S:1:pos:R:3 pbc="T T T"
Ho 1.5999 -0.0933 3.2775
Se 1.9947 -0.5941 0.4341
Se 2.0846 -1.6198 9.5308
Th -0.6349 -1.9457 0.2545
Se -0.9584 -1.4642 3.1288
Se 5.0378 -0.7497 6.8362
Na -1.5105 -0.9040 6.0339
Na 5.5899 -1.3099 3.9311
Se 1.2405 0.3892 6.0700
Se 2.8388 -2.6031 3.8949
Ho 2.4795 -2.1206 6.6875
Na 3.4103 -3.1753 0.9468
```

density of states at the Fermi level	3.9	states/eV per cell
calculated total energy	-60.88	eV/cell
space group	C2/m, No. 12

First-principles (GGA-PBE) data for a relaxed structure of Na3Ho3TiSe8, as listed in Alexandria.

Geometry as extended XYZ:
```
15
Lattice="8.0614 0.0000 0.0000 -4.0307 6.9798 -0.0264 0.0000 -4.6287 7.1148" Properties=species:S:1:pos:R:3 pbc="T T T"
Se -2.1635 3.5937 5.0551
Na 2.0154 3.4899 -0.0132
Ti 0.0000 -2.3143 3.5574
Se 0.0000 -0.1522 5.0696
Se 4.0307 2.5034 2.0187
Ho 4.0307 -2.3143 3.5574
Se 4.0307 0.0187 5.1840
Na -2.0154 3.4899 -0.0132
Se 6.1942 -1.2425 2.0332
Ho -2.0154 1.1756 3.5442
Se 0.0000 2.3324 1.9043
Se 2.1635 3.5937 5.0551
Se 1.8672 -1.2425 2.0332
Ho 2.0154 1.1756 3.5442
Na 0.0000 0.0000 0.0000
```

calculated total energy	-76.73	eV/cell
space group	R-3m, No. 166

First-principles (GGA-PBE) data for a relaxed structure of Na3Ho2TiSe6, as listed in Alexandria.

Geometry as extended XYZ:
```
12
Lattice="6.9641 -0.0017 -0.0007 -3.4818 6.0312 -0.0007 -1.1623 -2.0126 7.0026" Properties=species:S:1:pos:R:3 pbc="T T T"
Ho -0.0029 4.0220 -0.0007
Ho 3.4851 2.0075 -0.0007
Se -0.0707 -0.1224 5.4532
Se 0.1223 4.0155 5.4354
Se 2.3906 4.1393 1.5480
Na 4.6087 0.0167 3.5006
Na 1.1600 2.0085 3.5006
Se -1.0970 1.9043 1.5658
Na -2.2888 4.0003 3.5006
Se 3.4170 2.1127 5.4354
Se 2.1977 0.0015 1.5658
Ti 0.0000 0.0000 0.0000
```

density of states at the Fermi level	6.2	states/eV per cell
calculated total energy	-59.84	eV/cell
space group	C2/m, No. 12

First-principles (GGA-PBE) data for a relaxed structure of Na4Ho3TiSe8, as listed in Alexandria.

Geometry as extended XYZ:
```
16
Lattice="-3.9754 4.2663 -5.6165 -7.3234 -2.1250 3.5694 5.6558 3.5821 4.5533" Properties=species:S:1:pos:R:3 pbc="T T T"
Ho -5.6494 1.0707 -1.0236
Se -2.7003 5.2405 2.8303
Na -1.9877 2.1332 -2.8083
Se -0.6146 3.0022 5.7771
Se -0.0875 2.3577 1.8528
Na 0.0000 0.0000 0.0000
Se -2.9427 0.4830 -0.3241
Ti -3.6617 -1.0625 1.7847
Se -3.5819 1.1229 3.3882
Ho -2.8215 2.8618 1.2531
Se -5.0284 2.7213 -3.2709
Ho -0.8338 0.7286 4.0614
Na 0.8402 3.9242 -0.5316
Se -5.5555 3.3658 0.6534
Se -2.0611 4.6006 -0.8821
Na 2.8279 1.7911 2.2767
```

density of states at the Fermi level	5.5	states/eV per cell
calculated total energy	-79.46	eV/cell
space group	R-3m, No. 166

First-principles (GGA-PBE) data for a relaxed structure of Na3Ho3TmSe8, as listed in Alexandria.

Geometry as extended XYZ:
```
15
Lattice="8.1892 0.0000 0.0000 -4.0946 7.0925 -0.0278 0.0000 -4.7052 7.0822" Properties=species:S:1:pos:R:3 pbc="T T T"
Se -2.0566 3.5699 5.1098
Se 2.0380 -1.1826 1.9447
Na 2.0473 3.5463 -0.0139
Ho 4.0946 -2.3526 3.5411
Se 4.0946 2.3797 1.9303
Na 0.0000 0.0000 0.0000
Se 0.0000 0.0076 5.1242
Ho 2.0473 1.1937 3.5272
Se 2.0566 3.5699 5.1098
Se 6.1512 -1.1826 1.9447
Se 4.0946 0.0180 5.1547
Tm 0.0000 -2.3526 3.5411
Ho -2.0473 1.1937 3.5272
Na -2.0473 3.5463 -0.0139
Se 0.0000 2.3694 1.8998
```

density of states at the Fermi level	6.6	states/eV per cell
calculated total energy	-74.39	eV/cell
space group	R-3m, No. 166

First-principles (GGA-PBE) data for a relaxed structure of Na2Ho3TmSe6, as listed in Alexandria.

Geometry as extended XYZ:
```
12
Lattice="-4.1335 4.8434 -3.0470 -2.8359 -4.9026 4.2131 3.1667 4.0835 4.9157" Properties=species:S:1:pos:R:3 pbc="T T T"
Se -1.1390 2.6083 0.3399
Ho -2.3299 5.2314 0.6427
Tm 0.0000 0.0000 0.0000
Ho -1.4727 -1.2072 5.4390
Ho -1.9013 2.0121 3.0409
Se 0.6774 3.0229 3.9369
Na -3.6997 1.5857 -0.6203
Se -2.6636 1.4159 5.7418
Se -4.4800 1.0013 2.1449
Se -0.7146 -0.5796 2.7147
Na -3.2696 -1.6449 1.7863
Se -3.0880 4.6038 3.3671
```

density of states at the Fermi level	3.1	states/eV per cell
calculated total energy	-62.13	eV/cell
space group	C2/m, No. 12

- What is the formula in the ninth record?
  Na3Ho2TiSe6

- What is the formula in the second record?
  NaHo4ThSe8

- Which value of calculated total energy does entry 1 give?
  -64.91 eV/cell